# 1
An optimized crystal structure of KNaTeF6. Source: Alexandria via LeMat-Bulk, functional PBE.

```
KNaTeF6
1.0
5.995 0.000 0.000
-2.998 5.192 0.000
0.000 0.000 5.465
K Na Te F
1 1 1 6
direct
0.000 0.000 0.000
0.333 0.667 0.500
0.667 0.333 0.500
0.383 0.031 0.710
0.383 0.352 0.290
0.648 0.031 0.290
0.648 0.617 0.710
0.969 0.352 0.710
0.969 0.617 0.290
```

Magnetization: 0.00 Bohr magnetons per cell
Electronic total energy: -4.341 eV per atom
Formation energy from raw total energies: -2.48 eV per atom

# 2
An optimized crystal structure of K2NaThF8. Source: Alexandria via LeMat-Bulk, functional PBE.

```
K2NaThF8
1.0
6.045 0.000 0.000
0.000 4.253 0.000
-0.027 0.000 8.024
K Na Th F
2 1 1 8
direct
0.001 0.000 0.256
0.999 0.000 0.744
0.500 0.500 0.500
0.500 0.500 0.000
0.269 0.500 0.776
0.271 0.500 0.224
0.293 0.000 0.000
0.335 0.000 0.501
0.665 0.000 0.499
0.707 0.000 0.000
0.729 0.500 0.776
0.731 0.500 0.224
```

Magnetization: 1.15 Bohr magnetons per cell
Electronic total energy: -5.309 eV per atom
Formation energy from raw total energies: -3.15 eV per atom

# 3
An optimized crystal structure of KNa2TiF6. Source: Alexandria via LeMat-Bulk, functional PBE.

```
KNa2TiF6
1.0
0.000 4.443 4.443
4.443 0.000 4.443
4.443 4.443 0.000
K Na Ti F
1 2 1 6
direct
0.000 0.000 0.000
0.250 0.250 0.250
0.750 0.750 0.750
0.500 0.500 0.500
0.279 0.279 0.721
0.279 0.721 0.279
0.279 0.721 0.721
0.721 0.279 0.279
0.721 0.279 0.721
0.721 0.721 0.279
```

Magnetization: 0.88 Bohr magnetons per cell
Electronic total energy: -5.131 eV per atom
Formation energy from raw total energies: -2.84 eV per atom

# 4
An optimized crystal structure of K2NaTiF6. Source: Alexandria via LeMat-Bulk, functional PBE.

```
K2NaTiF6
1.0
0.000 4.253 4.253
4.253 0.000 4.253
4.253 4.253 0.000
K Na Ti F
2 1 1 6
direct
0.250 0.250 0.250
0.750 0.750 0.750
0.000 0.000 0.000
0.500 0.500 0.500
0.266 0.266 0.734
0.266 0.734 0.266
0.266 0.734 0.734
0.734 0.266 0.266
0.734 0.266 0.734
0.734 0.734 0.266
```

Magnetization: 1.00 Bohr magnetons per cell
Electronic total energy: -5.326 eV per atom
Formation energy from raw total energies: -3.06 eV per atom

Look up the electronic total energy of the second one. -5.309 eV per atom